BaCd2CoF8 (PBE with a Hubbard U, relaxed); uncorrected energy = -4.526 eV per atom; crystal system = monoclinic; calculated volume = 194 Å³ per cell
1.0
-4.693 0.219 1.352
-1.625 -0.522 -5.110
-0.118 -7.314 0.782
F Co Cd Ba
8 1 2 1
Direct
0.572 0.727 0.500
0.848 0.227 0.205
0.151 0.773 0.205
0.152 0.773 0.795
0.677 0.739 0.000
0.428 0.273 0.500
0.323 0.261 0.000
0.849 0.227 0.795
0.000 0.000 0.000
0.500 0.500 0.231
0.500 0.500 0.769
0.000 0.000 0.500